(1)
Si2PC | GGA-PBE | optimized geometry

a b c (Å): 3.252 4.443 4.600
angles (deg): 80.09 71.22 70.77
Fractional coordinates of all 4 atoms:
P 0.364 0.143 0.504
Si 0.296 0.596 0.173
Si 0.687 0.173 0.855
C 0.675 0.847 0.191

Summary:
calculated density = 2.8 g/cm³
Fermi-level density of states = 1.022 states/eV per cell
formation energy (no corrections) = 0.296 eV per atom
calculated volume = 59.3 Å³/cell

***

(2)
Si2PC | GGA-PBE | optimized geometry

a b c (Å): 3.255 3.303 5.754
angles (deg): 87.84 89.96 60.48
Fractional coordinates of all 4 atoms:
P 0.297 0.273 0.525
Si 0.616 0.634 0.320
Si 0.919 0.031 0.883
C 0.593 0.683 0.995

Summary:
calculated density = 3.1 g/cm³
Fermi-level density of states = 0.673 states/eV per cell
formation energy (no corrections) = 0.168 eV per atom
calculated volume = 53.8 Å³/cell

***

(3)
Si3PC | GGA-PBE | optimized geometry

a b c (Å): 4.453 4.453 4.453
angles (deg): 90.00 90.00 90.00
Fractional coordinates of all 5 atoms:
P 0.000 0.000 0.000
Si 0.000 0.500 0.000
Si 0.000 0.000 0.500
Si 0.500 0.000 0.000
C 0.500 0.500 0.500

Summary:
calculated density = 2.4 g/cm³
Fermi-level density of states = 2.288 states/eV per cell
formation energy (no corrections) = 1.956 eV per atom
calculated volume = 88.3 Å³/cell

***

(4)
SiPC2 | GGA-PBE | optimized geometry

a b c (Å): 5.233 3.065 5.355
angles (deg): 90.00 109.85 90.00
Fractional coordinates of all 8 atoms:
P 0.123 0.000 0.225
P 0.123 0.500 0.725
Si 0.632 0.000 0.727
Si 0.632 0.500 0.227
C 0.241 0.000 0.595
C 0.241 0.500 0.095
C 0.756 0.000 0.100
C 0.756 0.500 0.600

Summary:
calculated density = 3.4 g/cm³
Fermi-level density of states = 1.533 states/eV per cell
formation energy (no corrections) = 0.322 eV per atom
calculated volume = 80.8 Å³/cell

***

(5)
Si2PC | GGA-PBE | optimized geometry

a b c (Å): 4.362 3.215 8.631
angles (deg): 90.00 90.87 90.00
Fractional coordinates of all 8 atoms:
P 0.355 0.000 0.430
P 0.355 0.500 0.930
Si 0.786 0.000 0.999
Si 0.786 0.500 0.499
Si 0.104 0.000 0.782
Si 0.104 0.500 0.282
C 0.031 0.000 0.571
C 0.031 0.500 0.071

Summary:
calculated density = 2.7 g/cm³
Fermi-level density of states = 1.614 states/eV per cell
formation energy (no corrections) = 0.426 eV per atom
calculated volume = 121.0 Å³/cell

***

(6)
Si2PC | GGA-PBE | optimized geometry

a b c (Å): 6.017 3.289 5.656
angles (deg): 90.00 103.50 90.00
Fractional coordinates of all 8 atoms:
P 0.481 0.000 0.184
P 0.481 0.500 0.684
Si 0.682 0.000 0.569
Si 0.682 0.500 0.069
Si 0.110 0.000 0.349
Si 0.110 0.500 0.849
C 0.004 0.000 0.657
C 0.004 0.500 0.157

Summary:
calculated density = 3.0 g/cm³
Fermi-level density of states = 1.191 states/eV per cell
formation energy (no corrections) = 0.181 eV per atom
calculated volume = 108.8 Å³/cell

***

(7)
Si2PC | GGA-PBE | optimized geometry

a b c (Å): 4.059 4.059 4.059
angles (deg): 60.00 60.00 60.00
Fractional coordinates of all 4 atoms:
P 0.500 0.500 0.500
Si 0.250 0.250 0.250
Si 0.750 0.750 0.750
C 0.000 0.000 0.000

Summary:
calculated density = 3.5 g/cm³
Fermi-level density of states = 2.553 states/eV per cell
formation energy (no corrections) = 1.358 eV per atom
calculated volume = 47.3 Å³/cell

***

(8)
Si2PC | GGA-PBE | optimized geometry

a b c (Å): 5.207 2.892 8.454
angles (deg): 90.00 99.04 90.00
Fractional coordinates of all 8 atoms:
P 0.454 0.000 0.753
P 0.454 0.500 0.253
Si 0.178 0.000 0.944
Si 0.178 0.500 0.444
Si 0.894 0.000 0.700
Si 0.894 0.500 0.200
C 0.198 0.000 0.580
C 0.198 0.500 0.080

Summary:
calculated density = 2.6 g/cm³
Fermi-level density of states = 1.376 states/eV per cell
formation energy (no corrections) = 0.359 eV per atom
calculated volume = 125.7 Å³/cell